Record 1
RbCeCu2F8: optimized geometry, PBE-GGA.

abc: 5.8131 5.8131 8.1584
angles: 90.00 90.00 120.00
Element x y z (fractional)
Rb (0.0000, 0.0000, 0.5000)
Ce (0.0000, 0.0000, 0.0000)
Cu (0.3333, 0.6667, 0.6895)
Cu (0.6667, 0.3333, 0.3105)
F (0.1673, 0.3345, 0.8275)
F (0.1673, 0.8327, 0.8275)
F (0.6654, 0.8327, 0.8275)
F (0.3346, 0.1673, 0.1725)
F (0.6667, 0.3333, 0.5362)
F (0.3333, 0.6667, 0.4638)
F (0.8327, 0.6655, 0.1725)
F (0.8327, 0.1673, 0.1725)

Properties
As for the total energy: -5.019 eV per atom. Its formation energy from raw total energies is -2514.1 meV per atom. Its symmetry is No. 164. The value obtained for the density of states at the Fermi level is 16.25 states/eV/cell.

=====

Record 2
Rb5DyTe4: optimized geometry, PBE-GGA.

abc: 5.0680 9.3087 11.1998
angles: 114.48 103.08 90.00
Element x y z (fractional)
Rb (0.8269, 0.5702, 0.6539)
Rb (0.8265, 0.0832, 0.6530)
Rb (0.1735, 0.9168, 0.3470)
Rb (0.5000, 0.5000, 0.0000)
Rb (0.1731, 0.4298, 0.3461)
Dy (0.5000, 0.0000, 0.0000)
Te (0.3344, 0.8343, 0.6688)
Te (0.0002, 0.7820, 0.0005)
Te (0.6656, 0.1657, 0.3312)
Te (0.9998, 0.2180, 0.9995)

Properties
As for the total energy: -3.209 eV per atom. Its formation energy from raw total energies is -1008.1 meV per atom. Its symmetry is No. 12.

=====

Record 3
Sm4Ho3Sc: optimized geometry, PBE-GGA.

abc: 6.2324 7.2269 11.3211
angles: 90.00 90.00 90.00
Element x y z (fractional)
Sm (0.1538, 0.8702, 0.0000)
Sm (0.6395, 0.1283, 0.0000)
Sm (0.9851, 0.1300, 0.2437)
Sm (0.4851, 0.8700, 0.2563)
Sm (0.1395, 0.8717, 0.5000)
Sm (0.6538, 0.1298, 0.5000)
Sm (0.4851, 0.8700, 0.7437)
Sm (0.9851, 0.1300, 0.7563)
Ho (0.6486, 0.6215, 0.0000)
Ho (0.9783, 0.6199, 0.2495)
Ho (0.4783, 0.3801, 0.2505)
Ho (0.1486, 0.3785, 0.5000)
Ho (0.4783, 0.3801, 0.7495)
Ho (0.9783, 0.6199, 0.7505)
Sc (0.1465, 0.3817, 0.0000)
Sc (0.6465, 0.6183, 0.5000)

Properties
As for the total energy: -4.834 eV per atom. Its symmetry is No. 31. The value obtained for the density of states at the Fermi level is 29.27 states/eV/cell. The calculation puts the energy above the most stable polymorph in this dataset at 0.0 meV per atom.

=====

Record 4
SbTe2Rh: optimized geometry, PBE-GGA.

abc: 5.3538 5.3538 3.8549
angles: 90.00 90.00 116.05
Element x y z (fractional)
Sb (0.0000, 0.0000, 0.5000)
Te (0.7012, 0.2988, 0.0000)
Te (0.2988, 0.7012, 0.0000)
Rh (0.5000, 0.5000, 0.5000)

Properties
As for the total energy: -4.596 eV per atom. Its formation energy from raw total energies is -156.6 meV per atom. Its symmetry is No. 65. The value obtained for the density of states at the Fermi level is 1.72 states/eV/cell.

=====

Record 5
Sr2RhPb: optimized geometry, PBE-GGA.

abc: 9.8599 9.8599 9.8599
angles: 22.74 22.74 22.74
Element x y z (fractional)
Pb (0.2500, 0.2500, 0.2500)
Rh (0.7500, 0.7500, 0.7500)
Sr (0.0142, 0.0142, 0.0142)
Sr (0.4858, 0.4858, 0.4858)

Properties
As for the total energy: -3.736 eV per atom. Its symmetry is No. 166. The value obtained for the density of states at the Fermi level is 2.92 states/eV/cell.

=====

Record 6
HoMgNiGe2: optimized geometry, PBE-GGA.

abc: 5.7457 5.4688 5.7575
angles: 90.00 90.00 90.00
Element x y z (fractional)
Ho (0.2366, 0.2500, 0.5000)
Ho (0.7634, 0.7500, 0.5000)
Mg (0.6213, 0.7500, 0.0000)
Mg (0.3787, 0.2500, 0.0000)
Ni (0.0000, 0.0000, 0.0000)
Ni (0.0000, 0.5000, 0.0000)
Ge (0.7608, 0.2500, 0.7290)
Ge (0.7608, 0.2500, 0.2710)
Ge (0.2392, 0.7500, 0.7290)
Ge (0.2392, 0.7500, 0.2710)

Properties
As for the total energy: -4.677 eV per atom. Its symmetry is No. 51. The value obtained for the density of states at the Fermi level is 5.27 states/eV/cell.

=====

Record 7
Gd2GaBr: optimized geometry, PBE-GGA.

abc: 4.2530 4.2530 7.4709
angles: 73.46 73.46 60.00
Element x y z (fractional)
Gd (0.2602, 0.2602, 0.2195)
Gd (0.7398, 0.7398, 0.7805)
Ga (0.0000, 0.0000, 0.0000)
Br (0.5000, 0.5000, 0.5000)

Properties
As for the total energy: -9.068 eV per atom. Its formation energy from raw total energies is -852.1 meV per atom. Its symmetry is No. 166. The value obtained for the density of states at the Fermi level is 2.65 states/eV/cell. The calculation puts the energy above the most stable polymorph in this dataset at 0.0 meV per atom.

=====

Record 8
TlV2InCl8: optimized geometry, PBE-GGA.

abc: 6.8916 6.8916 10.1666
angles: 70.19 70.19 60.00
Element x y z (fractional)
Tl (0.5000, 0.5000, 0.5000)
V (0.2421, 0.2421, 0.2736)
V (0.7579, 0.7579, 0.7264)
In (0.0000, 0.0000, 0.0000)
Cl (0.1632, 0.1632, 0.5105)
Cl (0.5431, 0.3244, 0.1977)
Cl (0.8368, 0.8368, 0.4895)
Cl (0.9348, 0.5431, 0.1977)
Cl (0.0652, 0.4569, 0.8023)
Cl (0.3244, 0.9348, 0.1977)
Cl (0.6756, 0.0652, 0.8023)
Cl (0.4569, 0.6756, 0.8023)

Properties
As for the total energy: -4.258 eV per atom. Its formation energy from raw total energies is -1082.0 meV per atom. Its symmetry is No. 148.

=====

Record 9
Cs2NaF: optimized geometry, PBE-GGA.

abc: 4.4751 4.4751 11.2059
angles: 78.48 78.48 60.00
Element x y z (fractional)
Cs (0.7195, 0.7195, 0.8414)
Cs (0.2805, 0.2805, 0.1586)
Na (0.5000, 0.5000, 0.5000)
F (0.0000, 0.0000, 0.0000)

Properties
As for the total energy: -2.458 eV per atom. Its formation energy from raw total energies is -1233.4 meV per atom. Its symmetry is No. 166. The value obtained for the density of states at the Fermi level is 1.34 states/eV/cell. The calculation puts the energy above the most stable polymorph in this dataset at 37.7 meV per atom.

=====

Record 10
AgSn2P: optimized geometry, PBE-GGA.

abc: 3.7507 3.7507 7.8748
angles: 76.22 76.22 60.00
Element x y z (fractional)
Ag (0.4979, 0.4979, 0.5062)
Sn (0.0759, 0.0759, 0.7723)
Sn (0.2588, 0.2588, 0.2236)
P (0.6674, 0.6674, 0.9979)

Properties
As for the total energy: -3.977 eV per atom. Its symmetry is No. 160. The value obtained for the density of states at the Fermi level is 1.58 states/eV/cell.

=====

Record 11
NdDyNbN3: optimized geometry, PBE-GGA.

abc: 3.3638 6.6315 9.4752
angles: 95.17 90.00 90.00
Element x y z (fractional)
Nd (0.7500, 0.7997, 0.7578)
Nd (0.2500, 0.2003, 0.2422)
Dy (0.2500, 0.6626, 0.1133)
Dy (0.7500, 0.3374, 0.8867)
Nb (0.2500, 0.1368, 0.5801)
Nb (0.7500, 0.8632, 0.4199)
N (0.2500, 0.8042, 0.5389)
N (0.7500, 0.8901, 0.2085)
N (0.7500, 0.4021, 0.1260)
N (0.7500, 0.1958, 0.4611)
N (0.2500, 0.5979, 0.8740)
N (0.2500, 0.1099, 0.7915)

Properties
As for the total energy: -8.478 eV per atom. Its formation energy from raw total energies is -1075.5 meV per atom. Its symmetry is No. 11. The value obtained for the density of states at the Fermi level is 6.58 states/eV/cell.

=====

Record 12
Be2H2Br: optimized geometry, PBE-GGA.

abc: 3.3922 3.3922 5.5850
angles: 72.32 72.32 90.00
Element x y z (fractional)
Be (0.2139, 0.2139, 0.5722)
Be (0.7861, 0.7861, 0.4278)
Br (0.0000, 0.0000, 0.0000)
H (0.7500, 0.2500, 0.5000)
H (0.2500, 0.7500, 0.5000)

Properties
As for the total energy: -2.975 eV per atom. Its symmetry is No. 139. The value obtained for the density of states at the Fermi level is 1.04 states/eV/cell. The calculation puts the energy above the most stable polymorph in this dataset at 0.0 meV per atom.

=====

Record 13
TiTc2Os2: optimized geometry, PBE-GGA.

abc: 7.5349 7.5349 2.7459
angles: 90.00 90.00 90.00
Element x y z (fractional)
Os (0.1723, 0.6723, 0.5000)
Os (0.6723, 0.8277, 0.5000)
Os (0.8277, 0.3277, 0.5000)
Os (0.3277, 0.1723, 0.5000)
Tc (0.3771, 0.8771, 0.0000)
Tc (0.8771, 0.6229, 0.0000)
Tc (0.6229, 0.1229, 0.0000)
Tc (0.1229, 0.3771, 0.0000)
Ti (0.0000, 0.0000, 0.0000)
Ti (0.5000, 0.5000, 0.0000)

Properties
As for the total energy: -10.167 eV per atom. Its symmetry is No. 127. The value obtained for the density of states at the Fermi level is 10.25 states/eV/cell. The calculation puts the energy above the most stable polymorph in this dataset at 21.7 meV per atom.

=====

Record 14
Ga5Cu3Ag12: optimized geometry, PBE-GGA.

abc: 13.1748 13.1748 13.1748
angles: 109.47 109.47 109.47
Element x y z (fractional)
Cu (0.7500, 0.3750, 0.1250)
Cu (0.8750, 0.7500, 0.1250)
Cu (0.3750, 0.7500, 0.6250)
Cu (0.2500, 0.1250, 0.3750)
Cu (0.8750, 0.1250, 0.2500)
Cu (0.3750, 0.6250, 0.2500)
Cu (0.6250, 0.3750, 0.7500)
Cu (0.1250, 0.8750, 0.7500)
Cu (0.7500, 0.8750, 0.6250)
Cu (0.6250, 0.2500, 0.3750)
Cu (0.1250, 0.2500, 0.8750)
Cu (0.2500, 0.6250, 0.8750)
Ga (0.1250, 0.3750, 0.2500)
Ga (0.0000, 0.5000, 0.0000)
Ga (0.0000, 0.0000, 0.0000)
Ga (0.3750, 0.2500, 0.1250)
Ga (0.5000, 0.0000, 0.5000)
Ga (0.5000, 0.5000, 0.0000)
Ga (0.1250, 0.7500, 0.3750)
Ga (0.7500, 0.1250, 0.8750)
Ga (0.7500, 0.6250, 0.3750)
Ga (0.3750, 0.1250, 0.7500)
Ga (0.6250, 0.8750, 0.2500)
Ga (0.5000, 0.5000, 0.5000)
Ga (0.5000, 0.0000, 0.0000)
Ga (0.0000, 0.0000, 0.5000)
Ga (0.2500, 0.3750, 0.6250)
Ga (0.2500, 0.8750, 0.1250)
Ga (0.0000, 0.5000, 0.5000)
Ga (0.8750, 0.2500, 0.6250)
Ga (0.6250, 0.7500, 0.8750)
Ga (0.8750, 0.6250, 0.7500)
Ag (0.7297, 0.1388, 0.0675)
Ag (0.3378, 0.5675, 0.4288)
Ag (0.9325, 0.3612, 0.2703)
Ag (0.5675, 0.2297, 0.1388)
Ag (0.5910, 0.7297, 0.6622)
Ag (0.9325, 0.5712, 0.1622)
Ag (0.3378, 0.7703, 0.4090)
Ag (0.0712, 0.9090, 0.1388)
Ag (0.5712, 0.9325, 0.6622)
Ag (0.7297, 0.5910, 0.1622)
Ag (0.7703, 0.4325, 0.3612)
Ag (0.8378, 0.9288, 0.0675)
Ag (0.1388, 0.7297, 0.5675)
Ag (0.3612, 0.4288, 0.0910)
Ag (0.0910, 0.9288, 0.3612)
Ag (0.4090, 0.1388, 0.5712)
Ag (0.0910, 0.1622, 0.2297)
Ag (0.4325, 0.6622, 0.0712)
Ag (0.8378, 0.9090, 0.2703)
Ag (0.1388, 0.4090, 0.0712)
Ag (0.3612, 0.9325, 0.7703)
Ag (0.5712, 0.6388, 0.4090)
Ag (0.9288, 0.8378, 0.5675)
Ag (0.7703, 0.3378, 0.9090)
Ag (0.4288, 0.3612, 0.5910)
Ag (0.0712, 0.1622, 0.4325)
Ag (0.2297, 0.6622, 0.0910)
Ag (0.1622, 0.0910, 0.7297)
Ag (0.6388, 0.0675, 0.2297)
Ag (0.8612, 0.5910, 0.9288)
Ag (0.5675, 0.3378, 0.9288)
Ag (0.5910, 0.8612, 0.4288)
Ag (0.9090, 0.8378, 0.7703)
Ag (0.9090, 0.0712, 0.6388)
Ag (0.8612, 0.2703, 0.4325)
Ag (0.1622, 0.0712, 0.9325)
Ag (0.6388, 0.5712, 0.9090)
Ag (0.4288, 0.0675, 0.3378)
Ag (0.2703, 0.4090, 0.8378)
Ag (0.2297, 0.5675, 0.6388)
Ag (0.9288, 0.0910, 0.8612)
Ag (0.6622, 0.2297, 0.5910)
Ag (0.4325, 0.7703, 0.8612)
Ag (0.0675, 0.4288, 0.8378)
Ag (0.4090, 0.2703, 0.3378)
Ag (0.0675, 0.6388, 0.7297)
Ag (0.6622, 0.4325, 0.5712)
Ag (0.2703, 0.8612, 0.9325)

Properties
As for the total energy: -2.710 eV per atom. Its symmetry is No. 230. The value obtained for the density of states at the Fermi level is 42.65 states/eV/cell.

=====

Record 15
LaPrNdDy2: optimized geometry, PBE-GGA.

abc: 7.2528 8.5477 7.2588
angles: 126.07 90.00 90.00
Element x y z (fractional)
La (0.7500, 0.7334, 0.4669)
La (0.2500, 0.2666, 0.5331)
Pr (0.2500, 0.0004, 0.0008)
Pr (0.7500, 0.9996, 0.9992)
Nd (0.2500, 0.7235, 0.4469)
Nd (0.7500, 0.2765, 0.5531)
Dy (0.5000, 0.3132, 0.0000)
Dy (0.0000, 0.6868, 0.0000)
Dy (0.5000, 0.6868, 0.0000)
Dy (0.0000, 0.3132, 0.0000)

Properties
As for the total energy: -4.404 eV per atom. Its symmetry is No. 63. The value obtained for the density of states at the Fermi level is 15.94 states/eV/cell.

=====

Record 16
PmNd3Ag7: optimized geometry, PBE-GGA.

abc: 3.8828 10.8112 13.7702
angles: 90.00 90.00 100.34
Element x y z (fractional)
Pm (0.9930, 0.9859, 0.2500)
Pm (0.0070, 0.0141, 0.7500)
Nd (0.1288, 0.2575, 0.4628)
Nd (0.8712, 0.7425, 0.5372)
Nd (0.2165, 0.4330, 0.7500)
Nd (0.7835, 0.5670, 0.2500)
Nd (0.1288, 0.2575, 0.0372)
Nd (0.8712, 0.7425, 0.9628)
Ag (0.3835, 0.7669, 0.7500)
Ag (0.6165, 0.2331, 0.2500)
Ag (0.5218, 0.0436, 0.4105)
Ag (0.4782, 0.9564, 0.5895)
Ag (0.4782, 0.9564, 0.9105)
Ag (0.5218, 0.0436, 0.0895)
Ag (0.3918, 0.7836, 0.3529)
Ag (0.6082, 0.2164, 0.6471)
Ag (0.2722, 0.5444, 0.4340)
Ag (0.7278, 0.4556, 0.5660)
Ag (0.7278, 0.4556, 0.9340)
Ag (0.2722, 0.5444, 0.0660)
Ag (0.3918, 0.7836, 0.1471)
Ag (0.6082, 0.2164, 0.8529)

Properties
As for the total energy: -3.694 eV per atom. Its symmetry is No. 63. The value obtained for the density of states at the Fermi level is 14.45 states/eV/cell.

=====

Record 17
CsK2TlAg: optimized geometry, PBE-GGA.

abc: 6.4602 6.4602 6.9885
angles: 90.00 90.00 90.00
Element x y z (fractional)
Cs (0.0000, 0.0000, 0.5000)
Tl (0.5000, 0.5000, 0.5000)
K (0.0000, 0.5000, 0.0000)
K (0.5000, 0.0000, 0.0000)
Ag (0.0000, 0.0000, 0.0000)

Properties
As for the total energy: -1.487 eV per atom. Its symmetry is No. 123. The value obtained for the density of states at the Fermi level is 5.37 states/eV/cell. The calculation puts the energy above the most stable polymorph in this dataset at 120.6 meV per atom.

=====

Record 18
NaLaRe2: optimized geometry, PBE-GGA.

abc: 4.7889 4.7889 4.7889
angles: 60.00 60.00 60.00
Element x y z (fractional)
Re (0.2500, 0.2500, 0.2500)
Re (0.7500, 0.7500, 0.7500)
Na (0.0000, 0.0000, 0.0000)
La (0.5000, 0.5000, 0.5000)

Properties
As for the total energy: -6.341 eV per atom. Its symmetry is No. 225. The value obtained for the density of states at the Fermi level is 9.10 states/eV/cell. The calculation puts the energy above the most stable polymorph in this dataset at 45.1 meV per atom.

=====

Record 19
SrCd2SnPd2: optimized geometry, PBE-GGA.

abc: 5.0263 5.0263 6.2819
angles: 90.00 90.00 90.00
Element x y z (fractional)
Sr (0.0000, 0.0000, 0.5000)
Cd (0.5000, 0.5000, 0.7446)
Cd (0.5000, 0.5000, 0.2554)
Sn (0.0000, 0.0000, 0.0000)
Pd (0.5000, 0.0000, 0.0000)
Pd (0.0000, 0.5000, 0.0000)

Properties
As for the total energy: -3.280 eV per atom. Its symmetry is No. 123. The value obtained for the density of states at the Fermi level is 2.01 states/eV/cell.

=====

Record 20
ZrTa2Cd: optimized geometry, PBE-GGA.

abc: 4.5877 4.1476 4.1476
angles: 90.00 90.00 90.00
Element x y z (fractional)
Cd (0.5000, 0.0000, 0.5000)
Ta (0.0000, 0.0000, 0.0000)
Ta (0.0000, 0.5000, 0.5000)
Zr (0.5000, 0.5000, 0.0000)

Properties
As for the total energy: -8.102 eV per atom. Its symmetry is No. 123. The value obtained for the density of states at the Fermi level is 4.33 states/eV/cell.